DFT (PBE) results for Nb4V after structural relaxation.

Summary:
- DOS at the Fermi energy (states/eV/cell) = 3.963
- ΔE to the lowest computed polymorph (eV/atom) = 0.699
- symmetry = Pm-3m
- ΔE_f (meV per atom) = 970

abc: 4.6356 4.6356 4.6356
angles: 90.00 90.00 90.00
Fractional coordinates of all 5 atoms:
Nb 0.0000 0.0000 0.0000
Nb 0.5000 0.0000 0.5000
Nb 0.0000 0.5000 0.5000
Nb 0.5000 0.5000 0.0000
V 0.5000 0.5000 0.5000